1.
The following is a DFT calculation (PBE) of an optimized crystal structure of SrInGaHIr.

Computed properties:
Space group   Cm, No. 8
Final energy   -4.1555 eV/atom
Polymorph energy (0 for the lowest one)   1.18 eV per formula unit

a b c (Å): 4.304 4.913 11.118
angles (deg): 90.00 112.42 90.00
Element x y z (fractional)
Ir 0.765 0.000 0.507
Ir 0.765 0.500 0.007
In 0.615 0.500 0.413
In 0.615 0.000 0.913
H 0.114 0.000 0.840
H 0.114 0.500 0.340
Ga 0.370 0.000 0.611
Ga 0.370 0.500 0.111
Sr 0.010 0.500 0.767
Sr 0.010 0.000 0.267

---

2.
The following is a DFT calculation (PBE) of an optimized crystal structure of TiMnSn2Pd.

Computed properties:
Space group   P4/mmm, No. 123
Calculated formation energy   16.04 kcal/mol of atoms
Final energy   -5.3570 eV/atom

a b c (Å): 5.402 4.829 5.402
angles (deg): 90.00 90.00 90.00
Site moments in Bohr magnetons follow the coordinates.
Element x y z (fractional)
Mn 0.500 0.500 0.500  -4.34
Sn 0.000 0.000 0.500  0.04
Sn 0.500 0.000 0.000  0.03
Ti 0.000 0.000 0.000  -0.05
Pd 0.000 0.500 0.000  0.02

---

3.
The following is a DFT calculation (PBE) of an optimized crystal structure of SbAs2OsSe.

Computed properties:
Space group   P4/mmm, No. 123
Final energy   -5.0757 eV/atom
Polymorph energy (0 for the lowest one)   0.00 eV per formula unit

a b c (Å): 4.675 4.675 5.424
angles (deg): 90.00 90.00 90.00
Element x y z (fractional)
Sb 0.500 0.500 0.500
Se 0.000 0.000 0.500
As 0.000 0.500 0.000
As 0.500 0.000 0.000
Os 0.000 0.000 0.000

---

4.
The following is a DFT calculation (PBE) of an optimized crystal structure of HfAl2Re2.

Computed properties:
Space group   P4/mbm, No. 127
Calculated formation energy   -3.73 kcal/mol of atoms
Final energy   -8.6285 eV/atom
Polymorph energy (0 for the lowest one)   0.00 eV per formula unit

a b c (Å): 7.116 7.116 3.136
angles (deg): 90.00 90.00 90.00
Element x y z (fractional)
Al 0.128 0.372 0.000
Al 0.372 0.872 0.000
Al 0.872 0.628 0.000
Al 0.628 0.128 0.000
Hf 0.000 0.000 0.000
Hf 0.500 0.500 0.000
Re 0.666 0.834 0.500
Re 0.166 0.666 0.500
Re 0.834 0.334 0.500
Re 0.334 0.166 0.500

---

5.
The following is a DFT calculation (PBE) of an optimized crystal structure of Ca2Hg2Br.

Computed properties:
Space group   P4/mbm, No. 127
Final energy   -2.0221 eV/atom
Polymorph energy (0 for the lowest one)   0.00 eV per formula unit

a b c (Å): 8.217 8.217 4.479
angles (deg): 90.00 90.00 90.00
Element x y z (fractional)
Ca 0.826 0.674 0.000
Ca 0.674 0.174 0.000
Ca 0.326 0.826 0.000
Ca 0.174 0.326 0.000
Hg 0.871 0.371 0.500
Hg 0.629 0.871 0.500
Hg 0.129 0.629 0.500
Hg 0.371 0.129 0.500
Br 0.500 0.500 0.000
Br 0.000 0.000 0.000

---

6.
The following is a DFT calculation (PBE) of an optimized crystal structure of Be2CuPb.

Computed properties:
Space group   P4/mmm, No. 123
Calculated formation energy   13.98 kcal/mol of atoms
Final energy   -3.2079 eV/atom

a b c (Å): 3.923 3.921 3.790
angles (deg): 90.00 90.00 90.00
Element x y z (fractional)
Be 0.000 0.000 0.000
Be 0.500 0.500 0.000
Cu 0.500 0.000 0.500
Pb 0.000 0.500 0.500

---

- The highest final energy belongs to which entry?
  Ca2Hg2Br

---

- The lowest final energy belongs to which entry?
  HfAl2Re2

---

Please write out number 5 again, unchanged.
The following is a DFT calculation (PBE) of an optimized crystal structure of Ca2Hg2Br.

Computed properties:
Space group   P4/mbm, No. 127
Final energy   -2.0221 eV/atom
Polymorph energy (0 for the lowest one)   0.00 eV per formula unit

a b c (Å): 8.217 8.217 4.479
angles (deg): 90.00 90.00 90.00
Element x y z (fractional)
Ca 0.826 0.674 0.000
Ca 0.674 0.174 0.000
Ca 0.326 0.826 0.000
Ca 0.174 0.326 0.000
Hg 0.871 0.371 0.500
Hg 0.629 0.871 0.500
Hg 0.129 0.629 0.500
Hg 0.371 0.129 0.500
Br 0.500 0.500 0.000
Br 0.000 0.000 0.000